Record 1
Here is crystalline ZrSnPt2 at its relaxed geometry from the Alexandria database. Energies are from PBE.

It has space group I-42d (No. 122), with a = 6.0680 Å, b = 6.0680 Å, c = 12.0328 Å, α = 90.00°, β = 90.00° and γ = 90.00°. The distinct sites, in fractional coordinates, are Zr at (0.0000, 0.0000, 0.0000), Sn at (0.0000, 0.0000, 0.5000) and Pt at (0.2489, 0.2500, 0.6250).

The calculation puts the spin magnetization at 0.0 μB per cell. The total DFT energy (no corrections) is -6.4082 eV/atom.

---

Record 2
Here is crystalline Hf6Fe5Ni at its relaxed geometry from the Alexandria database. Energies are from PBE.

It has space group C2/m (No. 12), with a = 14.0953 Å, b = 6.2445 Å, c = 4.4584 Å, α = 90.00°, β = 108.34° and γ = 90.00°. The distinct sites, in fractional coordinates, are Hf at (0.0000, 0.2482, 0.0000), Hf at (0.1676, 0.2494, 0.6677), Fe at (0.0000, 0.0000, 0.5000), Fe at (0.1656, 0.0000, 0.1657), Fe at (0.1679, 0.5000, 0.1683) and Ni at (0.0000, 0.5000, 0.5000).

The calculation puts the spin magnetization at 0.0 μB per cell. The total DFT energy (no corrections) is -9.3145 eV/atom.

---

Record 3
Here is crystalline Ba2GeH2 at its relaxed geometry from the Alexandria database. Energies are from PBE.

It has space group I4/mmm (No. 139), with a = 4.1100 Å, b = 4.1100 Å, c = 15.4054 Å, α = 90.00°, β = 90.00° and γ = 90.00°. The distinct sites, in fractional coordinates, are Ba at (0.0000, 0.0000, 0.1445), Ge at (0.0000, 0.0000, 0.5000) and H at (0.0000, 0.5000, 0.2500).

The calculation puts the spin magnetization at 0.0 μB per cell. The energy above the most stable polymorph in this dataset is 0.000 eV per atom. The total DFT energy (no corrections) is -3.4136 eV/atom.

---

Record 4
Here is crystalline SmMg4Tl2 at its relaxed geometry from the Alexandria database. Energies are from PBE.

It has space group P4_2/mnm (No. 136), with a = 8.7091 Å, b = 8.7091 Å, c = 4.6258 Å, α = 90.00°, β = 90.00° and γ = 90.00°. The distinct sites, in fractional coordinates, are Sm at (0.0000, 0.0000, 0.0000), Mg at (0.0984, 0.3460, 0.5000) and Tl at (0.1999, 0.8001, 0.5000).

The calculation puts the spin magnetization at 0.0 μB per cell. The total DFT energy (no corrections) is -2.3968 eV/atom.

---

Record 5
Here is crystalline GdLuFeOs at its relaxed geometry from the Alexandria database. Energies are from PBE.

It has space group F-43m (No. 216), with a = 6.7907 Å, b = 6.7907 Å, c = 6.7907 Å, α = 90.00°, β = 90.00° and γ = 90.00°. The distinct sites, in fractional coordinates, are Gd at (0.0000, 0.0000, 0.0000), Lu at (0.0000, 0.0000, 0.5000), Fe at (0.2500, 0.2500, 0.2500) and Os at (0.2500, 0.2500, 0.7500).

The calculation puts the spin magnetization at 19.5 μB per cell. The total DFT energy (no corrections) is -9.5757 eV/atom.

---

Record 6
Here is crystalline ZrOs2Se at its relaxed geometry from the Alexandria database. Energies are from PBE.

It has space group Imm2 (No. 44), with a = 3.1058 Å, b = 4.6296 Å, c = 9.1704 Å, α = 90.00°, β = 90.00° and γ = 90.00°. The distinct sites, in fractional coordinates, are Zr at (0.0000, 0.0000, 0.0000), Os at (0.0000, 0.0000, 0.4664), Os at (0.0000, 0.5000, 0.2145) and Se at (0.0000, 0.5000, 0.7486).

The calculation puts the spin magnetization at 0.0 μB per cell. The total DFT energy (no corrections) is -8.4692 eV/atom.

---

Record 7
Here is crystalline Mg2BeOs at its relaxed geometry from the Alexandria database. Energies are from PBE.

It has space group R-3m (No. 166, hexagonal axes), with a = 2.8282 Å, b = 2.8282 Å, c = 26.5419 Å, α = 90.00°, β = 90.00° and γ = 120.00°. The distinct sites, in fractional coordinates, are Mg at (0.0000, 0.0000, 0.2488), Be at (0.0000, 0.0000, 0.5000) and Os at (0.0000, 0.0000, 0.0000).

The calculation puts the spin magnetization at 0.0 μB per cell. The total DFT energy (no corrections) is -4.1021 eV/atom.

---

Record 8
Here is crystalline Ba3PdPb2 at its relaxed geometry from the Alexandria database. Energies are from PBE.

It has space group C2/c (No. 15), with a = 10.8993 Å, b = 10.6329 Å, c = 8.9648 Å, α = 90.00°, β = 109.23° and γ = 90.00°. The distinct sites, in fractional coordinates, are Ba at (0.0000, 0.1380, 0.2500), Ba at (0.1880, 0.4287, 0.9854), Pd at (0.0000, 0.1494, 0.7500) and Pb at (0.1735, 0.2625, 0.6356).

The calculation puts the spin magnetization at 0.0 μB per cell. The total DFT energy (no corrections) is -3.5299 eV/atom.

---

- Which of these has the lowest total DFT energy (no corrections)?
  GdLuFeOs